P | This record from Alexandria via LeMat-Bulk describes an optimized crystal structure of Al2PdAu8. The functional is PBE.

Structure (POSCAR):
```
Al2PdAu8
1.0
6.291 -3.691 0.000
6.291 3.691 0.000
-0.954 0.000 4.515
Al Pd Au
2 1 8
Direct
0.122 0.122 0.043
0.878 0.878 0.957
0.000 0.000 0.500
0.221 0.221 0.607
0.229 0.620 0.722
0.348 0.348 0.177
0.380 0.771 0.278
0.620 0.229 0.722
0.652 0.652 0.823
0.771 0.380 0.278
0.779 0.779 0.393
```

## Properties
Mass density: 13.75 g/cm3
V: 19.1 Å³ per atom

---

Q | This record from Alexandria via LeMat-Bulk describes an optimized crystal structure of Al2PdAu8. The functional is PBE.

Structure (POSCAR):
```
Al2PdAu8
1.0
7.239 -2.102 0.000
7.239 2.102 0.000
-2.240 0.000 6.220
Al Pd Au
2 1 8
Direct
0.218 0.218 0.157
0.782 0.782 0.843
0.500 0.500 0.500
0.043 0.043 0.233
0.152 0.152 0.721
0.322 0.322 0.574
0.396 0.396 0.037
0.604 0.604 0.963
0.678 0.678 0.426
0.848 0.848 0.279
0.957 0.957 0.767
```

## Properties
Mass density: 15.23 g/cm3
V: 17.2 Å³ per atom

---

Of them, Q has the highest stability.

---

P | This record from Alexandria via LeMat-Bulk describes an optimized crystal structure of PrAlPdAu. The functional is PBE.

Structure (POSCAR):
```
PrAlPdAu
1.0
2.192 1.265 5.311
-2.192 1.265 5.311
0.000 -2.531 5.311
Pr Al Pd Au
1 1 1 1
Direct
0.000 0.000 0.000
0.199 0.199 0.199
0.552 0.552 0.552
0.795 0.795 0.795
```

## Properties
Mass density: 8.85 g/cm3
V: 22.1 Å³ per atom

---

Q | This record from Alexandria via LeMat-Bulk describes an optimized crystal structure of PrAlPdAu. The functional is PBE.

Structure (POSCAR):
```
PrAlPdAu
1.0
0.000 3.466 3.466
3.466 0.000 3.466
3.466 3.466 0.000
Pr Al Pd Au
1 1 1 1
Direct
0.000 0.000 0.000
0.500 0.500 0.500
0.750 0.750 0.750
0.250 0.250 0.250
```

## Properties
Mass density: 9.40 g/cm3
V: 20.8 Å³ per atom

---

Of them, P has the highest stability.

---

P | This record from Alexandria via LeMat-Bulk describes an optimized crystal structure of PmAl2Au. The functional is PBE.

Structure (POSCAR):
```
PmAl2Au
1.0
2.272 -5.261 0.000
2.272 5.261 0.000
0.000 0.000 6.822
Pm Al Au
2 4 2
Direct
0.081 0.919 0.750
0.919 0.081 0.250
0.373 0.627 0.554
0.373 0.627 0.946
0.627 0.373 0.054
0.627 0.373 0.446
0.208 0.792 0.250
0.792 0.208 0.750
```

## Properties
Mass density: 8.06 g/cm3
V: 20.4 Å³ per atom

---

Q | This record from Alexandria via LeMat-Bulk describes an optimized crystal structure of PmAl2Au. The functional is PBE.

Structure (POSCAR):
```
PmAl2Au
1.0
4.367 0.000 0.000
0.000 4.367 0.000
0.000 0.000 4.379
Pm Al Au
1 2 1
Direct
0.000 0.000 0.000
0.000 0.500 0.500
0.500 0.000 0.500
0.500 0.500 0.000
```

## Properties
Mass density: 7.87 g/cm3
V: 20.9 Å³ per atom

---

R | This record from Alexandria via LeMat-Bulk describes an optimized crystal structure of PmAl2Au. The functional is PBE.

Structure (POSCAR):
```
PmAl2Au
1.0
2.169 1.253 5.322
-2.169 1.253 5.322
0.000 -2.505 5.322
Pm Al Au
1 2 1
Direct
0.000 0.000 0.000
0.212 0.212 0.212
0.788 0.788 0.788
0.500 0.500 0.500
```

## Properties
Mass density: 7.58 g/cm3
V: 21.7 Å³ per atom

---

Of them, P has the highest stability.

---

P | This record from Alexandria via LeMat-Bulk describes an optimized crystal structure of PmAl3Au3. The functional is PBE.

Structure (POSCAR):
```
PmAl3Au3
1.0
6.939 0.000 0.000
0.000 6.939 0.000
0.000 0.000 6.939
Pm Al Au
2 6 6
Direct
0.000 0.000 0.000
0.500 0.500 0.500
0.000 0.250 0.500
0.000 0.750 0.500
0.250 0.500 0.000
0.500 0.000 0.250
0.500 0.000 0.750
0.750 0.500 0.000
0.000 0.500 0.250
0.000 0.500 0.750
0.250 0.000 0.500
0.500 0.250 0.000
0.500 0.750 0.000
0.750 0.000 0.500
```

## Properties
Mass density: 8.12 g/cm3
V: 23.9 Å³ per atom

---

Q | This record from Alexandria via LeMat-Bulk describes an optimized crystal structure of PmAl3Au3. The functional is PBE.

Structure (POSCAR):
```
PmAl3Au3
1.0
4.142 2.392 5.134
-4.142 2.392 5.134
0.000 -4.783 5.134
Pm Al Au
2 6 6
Direct
0.181 0.181 0.181
0.819 0.819 0.819
0.079 0.374 0.685
0.315 0.921 0.626
0.374 0.685 0.079
0.626 0.315 0.921
0.685 0.079 0.374
0.921 0.626 0.315
0.156 0.741 0.435
0.259 0.565 0.844
0.435 0.156 0.741
0.565 0.844 0.259
0.741 0.435 0.156
0.844 0.259 0.565
```

## Properties
Mass density: 8.89 g/cm3
V: 21.8 Å³ per atom

---

R | This record from Alexandria via LeMat-Bulk describes an optimized crystal structure of PmAl3Au3. The functional is PBE.

Structure (POSCAR):
```
PmAl3Au3
1.0
7.440 0.000 0.000
0.000 4.520 0.000
-2.840 0.000 8.517
Pm Al Au
2 6 6
Direct
0.206 0.250 0.279
0.794 0.750 0.721
0.122 0.250 0.904
0.224 0.750 0.743
0.462 0.250 0.714
0.538 0.750 0.286
0.776 0.250 0.257
0.878 0.750 0.096
0.036 0.250 0.605
0.229 0.750 0.040
0.390 0.750 0.540
0.610 0.250 0.460
0.771 0.250 0.960
0.964 0.750 0.395
```

## Properties
Mass density: 9.47 g/cm3
V: 20.5 Å³ per atom

---

Of them, R has the highest stability.

---

P | This record from Alexandria via LeMat-Bulk describes an optimized crystal structure of PmAl2Au6. The functional is PBE.

Structure (POSCAR):
```
PmAl2Au6
1.0
0.000 5.905 5.905
5.905 0.000 5.905
5.905 5.905 0.000
Pm Al Au
2 4 12
Direct
0.125 0.125 0.125
0.875 0.875 0.875
0.000 0.500 0.500
0.500 0.000 0.500
0.500 0.500 0.000
0.500 0.500 0.500
0.128 0.128 0.622
0.128 0.622 0.128
0.128 0.622 0.622
0.378 0.378 0.872
0.378 0.872 0.378
0.378 0.872 0.872
0.622 0.128 0.128
0.622 0.128 0.622
0.622 0.622 0.128
0.872 0.378 0.378
0.872 0.378 0.872
0.872 0.872 0.378
```

## Properties
Mass density: 11.13 g/cm3
V: 22.9 Å³ per atom

---

Q | This record from Alexandria via LeMat-Bulk describes an optimized crystal structure of PmAl2Au6. The functional is PBE.

Structure (POSCAR):
```
PmAl2Au6
1.0
5.935 -3.757 0.000
5.935 3.757 0.000
-1.160 0.000 4.238
Pm Al Au
1 2 6
Direct
0.000 0.000 0.000
0.303 0.303 0.296
0.697 0.697 0.704
0.126 0.517 0.811
0.297 0.703 0.500
0.483 0.874 0.189
0.517 0.126 0.811
0.703 0.297 0.500
0.874 0.483 0.189
```

## Properties
Mass density: 12.13 g/cm3
V: 21.0 Å³ per atom

---

Of them, Q has the highest stability.

---

P | This record from Alexandria via LeMat-Bulk describes an optimized crystal structure of Pm8AlAu2. The functional is PBE.

Structure (POSCAR):
```
Pm8AlAu2
1.0
9.244 -2.621 0.000
9.244 2.621 0.000
-2.226 0.000 6.759
Pm Al Au
8 1 2
Direct
0.025 0.025 0.275
0.195 0.195 0.825
0.330 0.330 0.518
0.409 0.409 0.034
0.591 0.591 0.966
0.670 0.670 0.482
0.805 0.805 0.175
0.975 0.975 0.725
0.500 0.500 0.500
0.179 0.179 0.226
0.821 0.821 0.774
```

## Properties
Mass density: 8.01 g/cm3
V: 29.8 Å³ per atom

---

Q | This record from Alexandria via LeMat-Bulk describes an optimized crystal structure of Pm8AlAu2. The functional is PBE.

Structure (POSCAR):
```
Pm8AlAu2
1.0
-2.510 4.194 7.599
2.510 -4.194 7.599
2.510 4.194 -7.599
Pm Al Au
8 1 2
Direct
0.112 0.336 0.776
0.134 0.134 0.000
0.312 0.000 0.312
0.440 0.664 0.776
0.560 0.336 0.224
0.688 0.000 0.688
0.866 0.866 0.000
0.888 0.664 0.224
0.000 0.500 0.500
0.305 0.805 0.500
0.695 0.195 0.500
```

## Properties
Mass density: 8.20 g/cm3
V: 29.1 Å³ per atom

---

Of them, P has the highest stability.

---

P | This record from Alexandria via LeMat-Bulk describes an optimized crystal structure of PmAl2Au8. The functional is PBE.

Structure (POSCAR):
```
PmAl2Au8
1.0
7.113 -2.131 0.000
7.113 2.131 0.000
-3.509 0.000 6.907
Pm Al Au
1 2 8
Direct
0.000 0.000 0.000
0.276 0.276 0.295
0.724 0.724 0.705
0.101 0.101 0.476
0.187 0.187 0.896
0.335 0.335 0.701
0.457 0.457 0.271
0.543 0.543 0.729
0.665 0.665 0.299
0.813 0.813 0.104
0.899 0.899 0.524
```

## Properties
Mass density: 14.08 g/cm3
V: 19.0 Å³ per atom

---

Q | This record from Alexandria via LeMat-Bulk describes an optimized crystal structure of PmAl2Au8. The functional is PBE.

Structure (POSCAR):
```
PmAl2Au8
1.0
5.681 0.000 0.000
0.000 5.681 0.000
0.000 0.000 7.938
Pm Al Au
1 2 8
Direct
0.000 0.000 0.000
0.000 0.500 0.500
0.500 0.000 0.500
0.255 0.255 0.286
0.255 0.255 0.714
0.255 0.745 0.286
0.255 0.745 0.714
0.745 0.255 0.286
0.745 0.255 0.714
0.745 0.745 0.286
0.745 0.745 0.714
```

## Properties
Mass density: 11.50 g/cm3
V: 23.3 Å³ per atom

---

Of them, P has the highest stability.

---

P | This record from Alexandria via LeMat-Bulk describes an optimized crystal structure of PmAl3Au2. The functional is PBE.

Structure (POSCAR):
```
PmAl3Au2
1.0
8.443 -2.131 0.000
8.443 2.131 0.000
-2.609 0.000 9.866
Pm Al Au
3 9 6
Direct
0.000 0.000 0.000
0.158 0.158 0.706
0.842 0.842 0.294
0.043 0.043 0.360
0.213 0.213 0.376
0.336 0.336 0.044
0.372 0.372 0.803
0.500 0.500 0.500
0.628 0.628 0.197
0.664 0.664 0.956
0.787 0.787 0.624
0.957 0.957 0.640
0.199 0.199 0.115
0.353 0.353 0.541
0.475 0.475 0.222
0.525 0.525 0.778
0.647 0.647 0.459
0.801 0.801 0.885
```

## Properties
Mass density: 8.70 g/cm3
V: 19.7 Å³ per atom

---

Q | This record from Alexandria via LeMat-Bulk describes an optimized crystal structure of PmAl3Au2. The functional is PBE.

Structure (POSCAR):
```
PmAl3Au2
1.0
7.733 -2.118 0.000
7.733 2.118 0.000
-3.504 0.000 7.474
Pm Al Au
2 6 4
Direct
0.145 0.145 0.089
0.855 0.855 0.911
0.020 0.020 0.357
0.321 0.321 0.549
0.371 0.371 0.235
0.629 0.629 0.765
0.679 0.679 0.451
0.980 0.980 0.643
0.183 0.183 0.660
0.483 0.483 0.823
0.517 0.517 0.177
0.817 0.817 0.340
```

## Properties
Mass density: 8.41 g/cm3
V: 20.4 Å³ per atom

---

Of them, P has the highest stability.

---

P | This record from Alexandria via LeMat-Bulk describes an optimized crystal structure of PmAlAu5. The functional is PBE.

Structure (POSCAR):
```
PmAlAu5
1.0
8.924 0.000 0.000
0.000 5.634 0.000
0.000 0.000 11.160
Pm Al Au
4 4 20
Direct
0.248 0.250 0.061
0.252 0.750 0.561
0.748 0.250 0.439
0.752 0.750 0.939
0.172 0.750 0.846
0.328 0.250 0.346
0.672 0.750 0.654
0.828 0.250 0.154
0.053 0.012 0.289
0.053 0.488 0.289
0.074 0.750 0.057
0.099 0.250 0.517
0.187 0.250 0.792
0.313 0.750 0.292
0.401 0.750 0.017
0.426 0.250 0.557
0.447 0.512 0.789
0.447 0.988 0.789
0.553 0.012 0.211
0.553 0.488 0.211
0.574 0.750 0.443
0.599 0.250 0.983
0.687 0.250 0.708
0.813 0.750 0.208
0.901 0.750 0.483
0.926 0.250 0.943
0.947 0.512 0.711
0.947 0.988 0.711
```

## Properties
Mass density: 13.69 g/cm3
V: 20.0 Å³ per atom

---

Q | This record from Alexandria via LeMat-Bulk describes an optimized crystal structure of PmAlAu5. The functional is PBE.

Structure (POSCAR):
```
PmAlAu5
1.0
4.420 0.000 0.000
0.000 4.420 0.000
0.000 0.000 7.381
Pm Al Au
1 1 5
Direct
0.000 0.000 0.000
0.000 0.000 0.500
0.000 0.500 0.300
0.000 0.500 0.700
0.500 0.000 0.300
0.500 0.000 0.700
0.500 0.500 0.000
```

## Properties
Mass density: 13.32 g/cm3
V: 20.6 Å³ per atom

---

Of them, P has the highest stability.